1.
The following is a meta-GGA SCAN calculation of a PBEsol-optimized structure of BaSrP2O, from Alexandria.

The structure belongs to space group P4/mmm (No. 123); the cell edges are 5.645, 5.645 and 4.498 Å and the angles 90.00°, 90.00° and 90.00°. The distinct sites, in fractional coordinates, are Ba at (0.000, 0.000, 0.000), Sr at (0.500, 0.500, 0.500), P at (0.000, 0.500, 0.000) and O at (0.000, 0.000, 0.500).

For the total DFT energy (no corrections), the calculation gives -17.883 eV per atom.


2.
The following is a meta-GGA SCAN calculation of a PBEsol-optimized structure of ZnRe2Se, from Alexandria.

The structure belongs to space group Pmmm (No. 47); the cell edges are 2.935, 4.495 and 4.576 Å and the angles 90.00°, 90.00° and 90.00°. The distinct sites, in fractional coordinates, are Zn at (0.000, 0.000, 0.000), Re at (0.000, 0.500, 0.500), Re at (0.500, 0.500, 0.000) and Se at (0.500, 0.000, 0.500).

As for the energy above the most stable polymorph in this dataset: 1.06 eV/f.u.